The following is a PBE+U calculation of a relaxed YV3O crystal, from Alexandria.

```
YV3O
1.0
5.382 0.000 0.000
0.000 5.382 0.000
0.000 0.000 5.382
Y O V
1 1 3
direct
0.000 0.000 0.000
0.500 0.500 0.500
0.000 0.500 0.000
0.000 0.000 0.500
0.500 0.000 0.000
```

Summary:
Magnetization ... 2.3485 μB/atom
Energy above the most stable polymorph in this dataset ... 2.469 eV/atom